Sr2MnZnRe | PBE-GGA | relaxed

Geometry as POSCAR:
```
Sr2MnZnRe
1.0
5.9566 0.0000 0.0000
0.0000 4.5113 0.0000
0.0000 0.0000 5.9566
Re Zn Mn Sr
1 1 1 2
Direct
0.0000 0.0000 0.0000
0.5000 0.5000 0.5000
0.0000 0.5000 0.0000
0.0000 0.0000 0.5000
0.5000 0.0000 0.0000
```

Results
V	32.01	Å³/atom
E_form	388	kJ/mol of formula units
symmetry	P4/mmm (123)